10
Lattice="5.1629 0.0000 0.0000 0.0000 5.6969 0.0000 0.0000 0.0000 7.0105" Properties=species:S:1:pos:R:3 comment="SmGePt3 (GGA-PBE, optimized geometry)" spacegroup="No. 55" polymorph_energy_ev_per_atom=0.305 total_magnetization_mub_per_atom=0.000 e_tot_ev_per_cell=-61.0 formation_energy_ev_per_fu=-3.0 rho_g_cm3=13.018 pbc="T T T"
Sm 2.5814 0.0000 0.0000
Sm 2.5814 2.8485 3.5052
Ge 0.0000 2.8485 0.0000
Ge 0.0000 0.0000 3.5052
Pt 2.5814 2.8485 0.0000
Pt 2.5814 0.0000 3.5052
Pt 0.0000 3.5733 2.3007
Pt 0.0000 0.7248 1.2045
Pt 0.0000 2.1237 4.7098
Pt 0.0000 4.9721 5.8060